(1)
Material: Pr3Dy2Y4
Method: DFT, GGA-PBE
State: optimized geometry

The structure in POSCAR format:
```
Pr3Dy2Y4
1.0
5.794 1.566 1.121
2.097 11.124 0.705
2.097 4.252 10.304
Dy Y Pr
4 8 6
direct
0.585 0.748 0.482
0.085 0.482 0.748
0.415 0.252 0.518
0.915 0.518 0.252
0.420 0.920 0.182
0.925 0.844 0.589
0.425 0.589 0.844
0.920 0.182 0.920
0.080 0.818 0.080
0.575 0.411 0.156
0.580 0.080 0.818
0.075 0.156 0.411
0.749 0.056 0.278
0.251 0.944 0.722
0.751 0.722 0.944
0.250 0.607 0.393
0.750 0.393 0.607
0.249 0.278 0.056
```

Offset from the most stable computed form in eV/atom: 0.079
Space group: C2/c (15)

(2)
Material: Pr5Dy3Y
Method: DFT, GGA-PBE
State: optimized geometry

The structure in POSCAR format:
```
Pr5Dy3Y
1.0
-5.671 -3.690 -0.898
8.105 -7.459 5.395
-6.521 9.220 3.294
Dy Pr Y
6 10 2
direct
0.000 0.000 0.000
0.835 0.479 0.104
0.165 0.521 0.896
0.356 0.521 0.396
0.644 0.479 0.604
0.000 0.000 0.500
0.310 0.000 0.750
0.391 0.779 0.331
0.609 0.221 0.669
0.086 0.344 0.501
0.388 0.779 0.831
0.914 0.656 0.499
0.258 0.344 0.001
0.690 0.000 0.250
0.612 0.221 0.169
0.742 0.656 0.999
0.241 0.000 0.250
0.759 0.000 0.750
```

Offset from the most stable computed form in eV/atom: 0.000
Space group: C2/c (15)

(3)
Material: Pr4Dy2Y3
Method: DFT, GGA-PBE
State: optimized geometry

The structure in POSCAR format:
```
Pr4Dy2Y3
1.0
6.441 -0.266 -0.191
-0.216 9.944 -0.258
-0.216 2.960 9.497
Dy Y Pr
4 6 8
direct
0.103 0.632 0.869
0.397 0.131 0.368
0.603 0.869 0.632
0.897 0.368 0.131
0.919 0.023 0.177
0.081 0.977 0.823
0.419 0.177 0.023
0.750 0.525 0.475
0.250 0.475 0.525
0.581 0.823 0.977
0.083 0.817 0.530
0.417 0.470 0.183
0.583 0.530 0.817
0.973 0.308 0.817
0.027 0.692 0.183
0.473 0.817 0.308
0.527 0.183 0.692
0.917 0.183 0.470
```

Offset from the most stable computed form in eV/atom: 0.077
Space group: C2/c (15)

(4)
Material: Pr3Dy7Y
Method: DFT, GGA-PBE
State: optimized geometry

The structure in POSCAR format:
```
Pr3Dy7Y
1.0
-4.455 -0.945 -7.702
4.239 -9.008 1.947
-2.038 0.159 5.168
Dy Pr Y
7 3 1
direct
0.092 0.171 0.092
0.908 0.829 0.908
0.643 0.289 0.143
0.185 0.363 0.685
0.815 0.637 0.315
0.500 0.000 0.500
0.357 0.711 0.857
0.000 0.500 0.000
0.784 0.003 0.284
0.216 0.997 0.716
0.500 0.500 0.500
```

Offset from the most stable computed form in eV/atom: 0.000
Space group: P2/m (10)

(5)
Material: Pr3Dy2Y7
Method: DFT, GGA-PBE
State: optimized geometry

The structure in POSCAR format:
```
Pr3Dy2Y7
1.0
-1.662 -0.097 3.256
-4.980 -0.759 -2.565
3.543 -20.380 -0.850
Pr Y Dy
3 7 2
direct
0.169 0.000 0.339
0.500 0.500 0.000
0.831 0.000 0.661
0.285 0.500 0.570
0.068 0.500 0.135
0.585 0.000 0.171
0.932 0.500 0.865
0.415 0.000 0.829
0.000 0.000 0.000
0.715 0.500 0.430
0.363 0.500 0.726
0.637 0.500 0.274
```

Offset from the most stable computed form in eV/atom: 0.146
Space group: Cmmm (65)

(6)
Material: Pr4Dy5Y6
Method: DFT, GGA-PBE
State: optimized geometry

The structure in POSCAR format:
```
Pr4Dy5Y6
1.0
5.092 0.000 0.000
-2.546 12.753 0.000
0.000 0.000 15.253
Y Dy Pr
12 10 8
direct
0.751 0.502 0.263
0.651 0.302 0.431
0.949 0.899 0.597
0.449 0.899 0.097
0.449 0.899 0.430
0.551 0.101 0.930
0.249 0.498 0.763
0.051 0.101 0.097
0.250 0.499 0.431
0.551 0.101 0.597
0.750 0.501 0.931
0.349 0.698 0.931
0.750 0.499 0.597
0.551 0.101 0.264
0.449 0.899 0.764
0.651 0.301 0.097
0.349 0.698 0.263
0.849 0.699 0.097
0.250 0.501 0.097
0.151 0.301 0.597
0.651 0.302 0.763
0.349 0.699 0.597
0.950 0.899 0.931
0.849 0.699 0.432
0.050 0.101 0.762
0.850 0.700 0.762
0.950 0.899 0.262
0.151 0.301 0.932
0.150 0.300 0.262
0.050 0.101 0.431
```

Space group: Cmc2_1 (36)
Uncorrected energy in eV/atom: -5.37

Number 1: M_tot 0.0 Bohr magnetons per cell. Number 2: M_tot 0.0 Bohr magnetons per cell. Number 3: M_tot 0.0 Bohr magnetons per cell. Number 4: M_tot 0.0 Bohr magnetons per cell. Number 5: M_tot 1.2 Bohr magnetons per cell. Number 6: M_tot 0.0 Bohr magnetons per cell.